A relaxed InNiF5 crystal, computed with GGA+U.

Geometry as CIF:
```
data_InNiF5
_chemical_formula_sum 'In2 Ni2 F10'
_space_group_name_H-M_alt 'I m m m'
_space_group_IT_number 71
_space_group_name_Hall '-I 2 2'
_cell_length_a 4.0181
_cell_length_b 6.6610
_cell_length_c 7.9891
_cell_angle_alpha 90.00
_cell_angle_beta 90.00
_cell_angle_gamma 90.00
loop_
_atom_site_label
_atom_site_type_symbol
_atom_site_fract_x
_atom_site_fract_y
_atom_site_fract_z
In1 In 0.0000 0.0000 0.0000
Ni1 Ni 0.0000 0.0000 0.5000
F1 F 0.0000 0.0000 0.2635
F2 F 0.0000 0.3153 0.0000
F3 F 0.0000 0.5000 0.5000
```

Calculated values
- total DFT energy (no corrections) (eV per atom) = -4.317